# 1
Compound: TcPt8
Source: the Alexandria database
Functional: GGA-PBE
Structure: optimized geometry

POSCAR file:
```
TcPt8
1.0
-4.203 4.203 1.982
4.203 -4.203 1.982
4.203 4.203 -1.982
Tc Pt
1 8
direct
0.000 0.000 0.000
0.000 0.330 0.330
0.000 0.670 0.670
0.330 0.000 0.330
0.337 0.337 0.675
0.337 0.663 0.000
0.663 0.337 0.000
0.663 0.663 0.325
0.670 0.000 0.670
```

Properties
SG: I4/mmm
Theoretical density (Mg/m³): 19.7
DFT formation energy (eV per atom): -0.068

# 2
Compound: HoSc3Co8
Source: the Alexandria database
Functional: GGA-PBE
Structure: optimized geometry

POSCAR file:
```
HoSc3Co8
1.0
2.460 1.420 8.047
-2.460 1.420 8.047
0.000 -2.841 8.047
Ho Sc Co
1 3 8
direct
0.000 0.000 0.000
0.126 0.126 0.126
0.500 0.500 0.500
0.623 0.623 0.623
0.062 0.062 0.558
0.062 0.558 0.062
0.066 0.563 0.563
0.312 0.312 0.312
0.558 0.062 0.062
0.563 0.066 0.563
0.563 0.563 0.066
0.813 0.813 0.813
```

Properties
SG: R3m
Theoretical density (Mg/m³): 7.6
DFT formation energy (eV per atom): -0.314

# 3
Compound: AlCoGe
Source: the Alexandria database
Functional: GGA-PBE
Structure: optimized geometry

POSCAR file:
```
AlCoGe
1.0
0.000 2.810 2.810
2.810 0.000 2.810
2.810 2.810 0.000
Al Co Ge
1 1 1
direct
0.000 0.000 0.000
0.750 0.750 0.750
0.500 0.500 0.500
```

Properties
SG: F-43m
Theoretical density (Mg/m³): 5.9
DFT formation energy (eV per atom): -0.294

> What is the theoretical density in the first record?

19.7 Mg/m³